[1]
{
  "formula": "ZrAlCl2",
  "functional": "PBE",
  "state": "optimized geometry",
  "raw_formation_energy_ev_per_atom": -0.821,
  "m_tot_mub_per_cell": 0.7,
  "space_group": "Cmm2 (35)",
  "n_ef_per_ev_cell": 1.6,
  "lattice": [[1.6494, -2.9398, 0.0000], [1.6494, 2.9398, 0.0000], [0.0000, 0.0000, 9.8921]],
  "species": ["Zr", "Al", "Cl", "Cl"],
  "frac_coords": [[0.0000, 0.0000, 0.0000], [0.5000, 0.5000, 0.2359], [0.0000, 0.0000, 0.4123], [0.5000, 0.5000, 0.8013]]
}


[2]
{
  "formula": "ZrAlCl2",
  "functional": "PBE",
  "state": "optimized geometry",
  "raw_formation_energy_ev_per_atom": -0.650,
  "m_tot_mub_per_cell": 0.0,
  "space_group": "Cmmm (65)",
  "n_ef_per_ev_cell": 1.7,
  "lattice": [[1.5605, -3.0632, 0.0000], [1.5605, 3.0632, 0.0000], [0.0000, 0.0000, 9.8171]],
  "species": ["Zr", "Al", "Cl", "Cl"],
  "frac_coords": [[0.0000, 0.0000, 0.0000], [0.0000, 0.0000, 0.5000], [0.5000, 0.5000, 0.2106], [0.5000, 0.5000, 0.7894]]
}


[3]
{
  "formula": "ZrAlCl2",
  "functional": "PBE",
  "state": "optimized geometry",
  "raw_formation_energy_ev_per_atom": -0.265,
  "m_tot_mub_per_cell": 0.0,
  "space_group": "Fm-3m (225)",
  "n_ef_per_ev_cell": 2.1,
  "lattice": [[0.0000, 3.3547, 3.3547], [3.3547, 0.0000, 3.3547], [3.3547, 3.3547, 0.0000]],
  "species": ["Zr", "Al", "Cl", "Cl"],
  "frac_coords": [[0.0000, 0.0000, 0.0000], [0.5000, 0.5000, 0.5000], [0.2500, 0.2500, 0.2500], [0.7500, 0.7500, 0.7500]]
}


[4]
{
  "formula": "ZrAlCl2",
  "functional": "PBE",
  "state": "optimized geometry",
  "raw_formation_energy_ev_per_atom": -0.458,
  "m_tot_mub_per_cell": 0.0,
  "space_group": "I-42d (122)",
  "n_ef_per_ev_cell": 7.4,
  "lattice": [[-4.3974, 4.3974, 2.8703], [4.3974, -4.3974, 2.8703], [4.3974, 4.3974, -2.8703]],
  "species": ["Zr", "Zr", "Al", "Al", "Cl", "Cl", "Cl", "Cl"],
  "frac_coords": [[0.0000, 0.0000, 0.0000], [0.7500, 0.2500, 0.5000], [0.2500, 0.7500, 0.5000], [0.5000, 0.5000, 0.0000], [0.3750, 0.2453, 0.3703], [0.7547, 0.1250, 0.1297], [0.8750, 0.0047, 0.6297], [0.9953, 0.6250, 0.8703]]
}


[5]
{
  "formula": "ZrAlCl",
  "functional": "PBE",
  "state": "optimized geometry",
  "raw_formation_energy_ev_per_atom": 0.321,
  "m_tot_mub_per_cell": 0.0,
  "space_group": "F-43m (216)",
  "n_ef_per_ev_cell": 3.6,
  "lattice": [[0.0000, 3.2972, 3.2972], [3.2972, 0.0000, 3.2972], [3.2972, 3.2972, 0.0000]],
  "species": ["Zr", "Al", "Cl"],
  "frac_coords": [[0.0000, 0.0000, 0.0000], [0.2500, 0.2500, 0.2500], [0.7500, 0.7500, 0.7500]]
}


[6]
{
  "formula": "ZrAlCl2",
  "functional": "PBE",
  "state": "optimized geometry",
  "raw_formation_energy_ev_per_atom": -0.662,
  "m_tot_mub_per_cell": 0.4,
  "space_group": "P4/mmm (123)",
  "n_ef_per_ev_cell": 1.4,
  "lattice": [[3.1392, 0.0000, 0.0000], [0.0000, 3.1392, 0.0000], [0.0000, 0.0000, 11.1666]],
  "species": ["Zr", "Al", "Cl", "Cl"],
  "frac_coords": [[0.0000, 0.0000, 0.0000], [0.0000, 0.0000, 0.5000], [0.5000, 0.5000, 0.1406], [0.5000, 0.5000, 0.8594]]
}